# NaDyAlHg, optimized geometry, DFT PBE-GGA
data_NaDyAlHg
_chemical_formula_sum 'Na4 Dy4 Al4 Hg4'
_cell_length_a 7.2475
_cell_length_b 7.2475
_cell_length_c 7.2475
_cell_angle_alpha 90.00
_cell_angle_beta 90.00
_cell_angle_gamma 90.00
_symmetry_space_group_name_H-M 'F -4 3 m'
_symmetry_Int_Tables_number 216
_symmetry_space_group_name_Hall 'F -4 2 3'
loop_
_atom_site_label
_atom_site_type_symbol
_atom_site_fract_x
_atom_site_fract_y
_atom_site_fract_z
_atom_site_occupancy
Na1 Na 0.0000 0.0000 0.0000 1
Dy1 Dy 0.0000 0.0000 0.5000 1
Al1 Al 0.2500 0.2500 0.7500 1
Hg1 Hg 0.2500 0.2500 0.2500 1
# **DOS at the Fermi energy**: 0.54 states/eV/atom
# **Formation enthalpy at 0 K**: -0.18 eV per atom
# **Crystal system**: cubic


# Rb2Ni3Cl8, optimized geometry, DFT PBE-GGA
data_Rb2Ni3Cl8
_chemical_formula_sum 'Rb4 Ni6 Cl16'
_cell_length_a 15.5392
_cell_length_b 7.2936
_cell_length_c 6.3121
_cell_angle_alpha 90.00
_cell_angle_beta 106.77
_cell_angle_gamma 90.00
_symmetry_space_group_name_H-M 'C 1 2/m 1'
_symmetry_Int_Tables_number 12
_symmetry_space_group_name_Hall '-C 2y'
loop_
_atom_site_label
_atom_site_type_symbol
_atom_site_fract_x
_atom_site_fract_y
_atom_site_fract_z
_atom_site_occupancy
Rb1 Rb 0.2369 0.0000 0.1757 1
Ni1 Ni 0.0000 0.2455 0.5000 1
Ni2 Ni 0.0000 0.5000 0.0000 1
Cl1 Cl 0.0853 0.2700 0.8812 1
Cl2 Cl 0.0880 0.5000 0.3912 1
Cl3 Cl 0.0944 0.0000 0.4503 1
# **Energy relative to the elements, uncorrected**: -0.9722 eV/atom
# **Crystal system**: monoclinic


# LaCd3Ir, optimized geometry, DFT PBE-GGA
data_LaCd3Ir
_chemical_formula_sum 'La1 Cd3 Ir1'
_cell_length_a 6.0576
_cell_length_b 6.0576
_cell_length_c 6.0576
_cell_angle_alpha 90.00
_cell_angle_beta 90.00
_cell_angle_gamma 90.00
_symmetry_space_group_name_H-M 'P m -3 m'
_symmetry_Int_Tables_number 221
_symmetry_space_group_name_Hall '-P 4 2 3'
loop_
_atom_site_label
_atom_site_type_symbol
_atom_site_fract_x
_atom_site_fract_y
_atom_site_fract_z
_atom_site_occupancy
La1 La 0.0000 0.0000 0.0000 1
Cd1 Cd 0.0000 0.0000 0.5000 1
Ir1 Ir 0.5000 0.5000 0.5000 1
# **DOS at the Fermi energy**: 1.36 states/eV/atom
# **Polymorph energy (0 for the lowest one)**: 1721 meV per atom
# **Formation enthalpy at 0 K**: 1.74 eV per atom
# **Crystal system**: cubic


Number 1: total moment 0.0 μB/cell, E -42.735 eV/cell. Number 2: total moment 11.8 μB/cell, E -93.382 eV/cell. Number 3: total moment 0.9 μB/cell, E -7.834 eV/cell.